one) {
  "formula": "MnAgCl",
  "functional": "PBE-GGA",
  "state": "relaxed",
  "lattice": [[4.560, 0.000, 0.000], [2.280, 3.949, 0.000], [2.280, 1.316, 3.723]],
  "species": ["Ag", "Cl", "Mn"],
  "fractional_positions": [[0.000, 0.000, 0.000], [0.500, 0.500, 0.500], [0.250, 0.250, 0.250]]
}

***

two) {
  "formula": "MnAgCl",
  "functional": "PBE-GGA",
  "state": "relaxed",
  "lattice": [[-3.157, -3.619, 4.697], [-2.156, -6.231, 1.289], [4.594, 4.449, -2.057]],
  "species": ["Ag", "Cl", "Mn"],
  "fractional_positions": [[0.967, 0.967, 0.000], [0.709, 0.709, 0.000], [0.324, 0.324, 0.000]]
}

***

Tell me which of them is the least stable. Sure, it is one).

***

one) {
  "formula": "MnAgPCl2",
  "functional": "PBE-GGA",
  "state": "relaxed",
  "lattice": [[4.997, 0.000, 0.000], [0.000, 4.997, 0.000], [0.000, 0.000, 4.998]],
  "species": ["P", "Mn", "Ag", "Cl", "Cl"],
  "fractional_positions": [[0.000, 0.000, 0.500], [0.500, 0.500, 0.500], [0.000, 0.000, 0.000], [0.000, 0.500, 0.000], [0.500, 0.000, 0.000]]
}

***

two) {
  "formula": "MnAgPCl2",
  "functional": "PBE-GGA",
  "state": "relaxed",
  "lattice": [[4.825, 0.000, 0.000], [0.000, 4.825, 0.000], [0.000, 0.000, 4.696]],
  "species": ["P", "Mn", "Ag", "Cl", "Cl"],
  "fractional_positions": [[0.000, 0.000, 0.500], [0.000, 0.000, 0.000], [0.500, 0.500, 0.500], [0.000, 0.500, 0.000], [0.500, 0.000, 0.000]]
}

***

Tell me which of them is the least stable. Sure, it is one).

***

one) {
  "formula": "MnAgS2Cl",
  "functional": "PBE-GGA",
  "state": "relaxed",
  "lattice": [[-2.543, 3.330, -2.466], [-0.489, -3.115, -3.702], [-4.100, -1.682, 1.957]],
  "species": ["S", "S", "Mn", "Ag", "Cl"],
  "fractional_positions": [[0.000, 0.500, 0.000], [0.500, 0.000, 0.000], [0.500, 0.500, 0.500], [0.000, 0.000, 0.000], [0.000, 0.000, 0.500]]
}

***

two) {
  "formula": "MnAgS2Cl",
  "functional": "PBE-GGA",
  "state": "relaxed",
  "lattice": [[4.324, 0.000, 0.000], [0.000, 4.324, 0.000], [0.000, 0.000, 5.201]],
  "species": ["S", "S", "Mn", "Ag", "Cl"],
  "fractional_positions": [[0.000, 0.500, 0.000], [0.500, 0.000, 0.000], [0.000, 0.000, 0.000], [0.500, 0.500, 0.500], [0.000, 0.000, 0.500]]
}

***

Tell me which of them is the least stable. Sure, it is one).